# PBE+U ScTaVO6, optimized geometry
# **Density**: 5.965 g/cm³
# **E_tot**: -8.908 eV/atom
# **Crystal system**: tetragonal
data_ScTaVO6
_chemical_formula_sum 'Sc2 Ta2 V2 O12'
_cell_length_a 4.7194
_cell_length_b 4.7194
_cell_length_c 9.3202
_cell_angle_alpha 90.00
_cell_angle_beta 90.00
_cell_angle_gamma 90.00
_symmetry_space_group_name_H-M 'P 42 n m'
_symmetry_Int_Tables_number 102
loop_
_symmetry_equiv_pos_as_xyz
'x,y,z'
'-y+1/2,x+1/2,z+1/2'
'-x,-y,z'
'y+1/2,-x+1/2,z+1/2'
'-x+1/2,y+1/2,z+1/2'
'y,x,z'
'x+1/2,-y+1/2,z+1/2'
'-y,-x,z'
loop_
_atom_site_label
_atom_site_fract_x
_atom_site_fract_y
_atom_site_fract_z
Sc1 0.0000 0.0000 0.0000
Ta1 0.0000 0.0000 0.3377
V1 0.0000 0.0000 0.6702
O1 0.1872 0.1872 0.5048
O2 0.2009 0.2009 0.8287
O3 0.2086 0.2086 0.1808